No. 1
VASP calculation (GGA-PBE) on H2Rh2Au after structural relaxation.

Structure (POSCAR):
```
H2Rh2Au
1.0
-3.4534 5.1305 -0.6014
-3.9762 -2.1783 4.2490
1.4968 1.2467 2.0398
Rh H Au
4 4 2
Cartesian
-1.0564 2.0966 1.4439
-3.5831 4.2236 1.9981
-4.8764 2.1022 4.2436
-2.3497 -0.0248 3.6894
-2.3048 2.7949 -0.0169
-1.9474 -0.5205 1.7471
-5.4822 3.4726 1.9005
-5.1248 0.1572 3.6645
-3.7148 1.4761 1.8238
0.0000 0.0000 0.0000
```

Values from the calculation:
Space group   No. 127
Polymorph energy (0 for the lowest one)   320 meV per atom
Crystal system   tetragonal
Magnetic moment   0.00 μB/cell

=====

No. 2
VASP calculation (GGA-PBE) on ScHRh2Au after structural relaxation.

Structure (POSCAR):
```
ScHRh2Au
1.0
4.0064 0.0000 0.0000
0.0000 4.0064 0.0000
0.0000 0.0000 4.1234
Rh Au Sc H
2 1 1 1
Cartesian
2.0032 0.0000 0.0000
0.0000 2.0032 0.0000
2.0032 2.0032 2.0617
0.0000 0.0000 2.0617
0.0000 0.0000 0.0000
```

Values from the calculation:
Space group   No. 123
Polymorph energy (0 for the lowest one)   0 meV per atom
Crystal system   tetragonal
Magnetic moment   0.00 μB/cell

=====

No. 3
VASP calculation (GGA-PBE) on ScHRhAu2 after structural relaxation.

Structure (POSCAR):
```
ScHRhAu2
1.0
-1.8852 -2.4316 -3.0470
1.2605 -3.5830 2.0795
-3.2765 0.0163 2.0141
H Au Rh Sc
1 2 1 1
Cartesian
0.0000 0.0000 0.0000
-0.9426 -1.2158 -1.5235
0.6302 -1.7915 1.0398
-1.6383 0.0082 1.0071
-1.9506 -2.9991 0.5233
```

Values from the calculation:
Space group   No. 123
Total energy   -0.37076 Ry/atom
Crystal system   tetragonal
Magnetic moment   0.00 μB/cell